1.
Below is LiTiSe2 after structural relaxation, with properties calculated at the PBE level.

Computed properties:
Space group: No. 164
Formation energy (no corrections) in eV per atom: -1.23
Fermi-level density of states in states/eV/cell: 1.49

abc: 3.640 3.640 6.497
angles: 90.00 90.00 120.00
Last column: magnetic moment on the atom in μB.
Positions (direct):
Ti 0.000 0.000 0.000  0.68
Se 0.667 0.333 0.761  -0.02
Se 0.333 0.667 0.239  -0.02
Li 0.000 0.000 0.500  0.00

=====

2.
Below is BaLa2Au after structural relaxation, with properties calculated at the PBE level.

Computed properties:
ΔE to the lowest computed polymorph in kJ/mol of atoms: 26.0
Energy relative to the elements in eV per atom: -0.052
Space group: No. 12
Fermi-level density of states in states/eV/cell: 4.91

abc: 5.828 7.026 3.801
angles: 76.02 86.01 113.32
Positions (direct):
La 0.500 0.000 0.500
Ba 0.500 0.500 0.000
Au 0.000 0.500 0.500
La 0.000 0.000 0.000

=====

3.
Below is NpBW2 after structural relaxation, with properties calculated at the PBE level.

Computed properties:
Energy relative to the elements in eV per atom: 0.506
Space group: No. 166
Fermi-level density of states in states/eV/cell: 6.00

abc: 3.030 3.030 8.385
angles: 79.59 79.59 60.00
Last column: magnetic moment on the atom in μB.
Positions (direct):
Np 0.000 0.000 0.000  3.57
W 0.115 0.115 0.655  0.16
B 0.500 0.500 0.500  0.01
W 0.885 0.885 0.345  0.16

=====

4.
Below is Nb2Ni2Hg after structural relaxation, with properties calculated at the PBE level.

Computed properties:
ΔE to the lowest computed polymorph in kJ/mol of atoms: 21.5
Energy relative to the elements in eV per atom: 0.166
Space group: No. 127
Fermi-level density of states in states/eV/cell: 7.92

abc: 7.773 7.773 2.727
angles: 90.00 90.00 90.00
Positions (direct):
Nb 0.374 0.874 0.000
Hg 0.000 0.000 0.000
Nb 0.626 0.126 0.000
Ni 0.167 0.667 0.500
Nb 0.126 0.374 0.000
Ni 0.833 0.333 0.500
Ni 0.333 0.167 0.500
Ni 0.667 0.833 0.500
Hg 0.500 0.500 0.000
Nb 0.874 0.626 0.000

=====

5.
Below is AlPBrO2 after structural relaxation, with properties calculated at the PBE level.

Computed properties:
ΔE to the lowest computed polymorph in kJ/mol of atoms: 119.5
Space group: No. 123
Formation energy (no corrections) in eV per atom: 0.55
Fermi-level density of states in states/eV/cell: 1.85

abc: 3.840 3.840 5.201
angles: 90.00 90.00 90.00
Positions (direct):
Br 0.000 0.000 0.000
Al 0.500 0.500 0.500
O 0.500 0.000 0.000
O 0.000 0.500 0.000
P 0.000 0.000 0.500

=====

6.
Below is VFe2Hg2 after structural relaxation, with properties calculated at the PBE level.

Computed properties:
ΔE to the lowest computed polymorph in kJ/mol of atoms: 0.0
Energy relative to the elements in eV per atom: 0.460
Space group: No. 127
Fermi-level density of states in states/eV/cell: 10.70

abc: 6.115 6.115 4.322
angles: 90.00 90.00 90.00
Last column: magnetic moment on the atom in μB.
Positions (direct):
Hg 0.676 0.824 0.500  -0.02
Fe 0.868 0.632 0.000  1.95
Hg 0.824 0.324 0.500  -0.02
Fe 0.632 0.132 0.000  1.95
Fe 0.132 0.368 0.000  1.95
Hg 0.176 0.676 0.500  -0.02
V 0.000 0.000 0.000  -1.52
V 0.500 0.500 0.000  -1.52
Fe 0.368 0.868 0.000  1.95
Hg 0.324 0.176 0.500  -0.02

=====

7.
Below is SmGdGaSn after structural relaxation, with properties calculated at the PBE level.

Computed properties:
Energy relative to the elements in eV per atom: -0.571
Space group: No. 216
Fermi-level density of states in states/eV/cell: 2.70

abc: 5.290 5.290 5.290
angles: 60.00 60.00 60.00
Last column: magnetic moment on the atom in μB.
Positions (direct):
Sn 0.250 0.250 0.250  -0.03
Gd 0.500 0.500 0.500  7.04
Sm 0.000 0.000 0.000  0.03
Ga 0.750 0.750 0.750  -0.03

=====

8.
Below is HPdCl3 after structural relaxation, with properties calculated at the PBE level.

Computed properties:
ΔE to the lowest computed polymorph in kJ/mol of atoms: 43.3
Space group: No. 221
Fermi-level density of states in states/eV/cell: 3.81

abc: 4.834 4.834 4.834
angles: 90.00 90.00 90.00
Last column: magnetic moment on the atom in μB.
Positions (direct):
Pd 0.000 0.000 0.000  -0.08
Cl 0.000 0.500 0.000  -0.01
Cl 0.000 0.000 0.500  0.00
H 0.500 0.500 0.500  0.34
Cl 0.500 0.000 0.000  -0.05

=====

9.
Below is BeC5 after structural relaxation, with properties calculated at the PBE level.

Computed properties:
ΔE to the lowest computed polymorph in kJ/mol of atoms: 56.1
Energy relative to the elements in eV per atom: 1.223
Space group: No. 38
Fermi-level density of states in states/eV/cell: 0.42

abc: 6.119 6.119 2.485
angles: 90.00 90.00 154.99
Positions (direct):
Be 0.006 0.994 0.000
C 0.257 0.743 0.500
C 0.615 0.385 0.000
C 0.685 0.315 0.500
C 0.350 0.650 0.000
C 0.420 0.580 0.500

=====

10.
Below is Sn6Sb after structural relaxation, with properties calculated at the PBE level.

Computed properties:
Space group: No. 229
Formation energy (no corrections) in eV per atom: 0.42
Fermi-level density of states in states/eV/cell: 2.50

abc: 7.038 7.038 7.038
angles: 109.47 109.47 109.47
Last column: magnetic moment on the atom in μB.
Positions (direct):
Sn 0.250 0.500 0.750  0.04
Sn 0.500 0.750 0.250  0.04
Sn 0.250 0.750 0.500  0.04
Sn 0.750 0.250 0.500  0.04
Sb 0.000 0.000 0.000  0.87
Sn 0.750 0.500 0.250  0.04
Sn 0.500 0.250 0.750  0.04

=====

11.
Below is Ti8FeSn2 after structural relaxation, with properties calculated at the PBE level.

Computed properties:
Energy relative to the elements in eV per atom: -0.125
Space group: No. 12
Fermi-level density of states in states/eV/cell: 12.31

abc: 4.626 5.730 8.490
angles: 114.66 105.81 90.00
Positions (direct):
Sn 0.174 0.724 0.347
Ti 0.366 0.040 0.732
Ti 0.634 0.960 0.268
Fe 0.500 0.000 0.000
Ti 0.216 0.302 0.432
Ti 0.784 0.698 0.568
Ti 0.408 0.579 0.815
Sn 0.826 0.276 0.653
Ti 0.010 0.770 0.021
Ti 0.990 0.230 0.979
Ti 0.592 0.421 0.185

=====

12.
Below is Zn2In after structural relaxation, with properties calculated at the PBE level.

Computed properties:
Energy relative to the elements in eV per atom: 0.093
Space group: No. 8
Fermi-level density of states in states/eV/cell: 1.80

abc: 5.827 5.827 6.570
angles: 88.24 88.24 31.86
Positions (direct):
In 0.288 0.288 0.312
Zn 0.321 0.321 0.889
In 0.057 0.057 0.993
Zn 0.549 0.549 0.356
Zn 0.683 0.683 0.668
Zn 0.935 0.935 0.616

=====

Q: Which of these has the lowest Fermi-level density of states?
A: BeC5